1.
First-principles (PBE-GGA) data for a geometry-optimized Cs2InHg4 structure, as listed in the Alexandria database.

```
Cs2InHg4
1.0
-4.1860 -2.3719 -3.0223
0.8578 -4.9339 2.6840
-8.1800 -1.0063 6.7785
Cs Hg In
2 4 1
Direct
0.6395 0.6395 0.7210 Cs
0.3605 0.3605 0.2790 Cs
0.8344 0.8344 0.3311 Hg
0.1656 0.1656 0.6689 Hg
0.0000 0.5000 0.0000 Hg
0.5000 0.0000 0.0000 Hg
0.0000 0.0000 0.0000 In
```

Output
Formation energy, meV/atom: -154
Symmetry: I4/mmm (139)
E_tot, eV for the cell shown: -6.73

***

2.
First-principles (PBE-GGA) data for a geometry-optimized CsIn4Hg2 structure, as listed in the Alexandria database.

```
CsIn4Hg2
1.0
-4.1087 -0.1847 -3.0045
-2.1713 -4.4808 -1.0725
-8.3435 -0.5577 7.1269
Cs In Hg
1 4 2
Direct
0.0000 0.0000 0.0000 Cs
0.4422 0.4422 0.6733 In
0.1468 0.1468 0.5596 In
0.5578 0.5578 0.3267 In
0.8532 0.8532 0.4404 In
0.2564 0.2564 0.2309 Hg
0.7436 0.7436 0.7691 Hg
```

Output
Formation energy, meV/atom: -114
Symmetry: R-3m (166)
Relative energy among the computed polymorphs, meV/atom: 3.9
E_tot, eV for the cell shown: -13.21

***

3.
First-principles (PBE-GGA) data for a geometry-optimized Cs2In2Hg7 structure, as listed in the Alexandria database.

```
Cs2In2Hg7
1.0
4.1839 -1.4171 -1.0946
-1.8055 10.1745 -1.1957
-1.8822 1.1746 10.1630
Cs In Hg
2 2 7
Direct
0.5000 0.7035 0.2965 Cs
0.5000 0.2965 0.7035 Cs
0.8354 0.1681 0.1681 In
0.1646 0.8319 0.8319 In
0.3973 0.3557 0.0439 Hg
0.6027 0.9561 0.6443 Hg
0.6027 0.6443 0.9561 Hg
0.3973 0.0439 0.3557 Hg
0.2590 0.6259 0.6259 Hg
0.0000 0.0000 0.0000 Hg
0.7410 0.3741 0.3741 Hg
```

Output
Formation energy, meV/atom: -137
Symmetry: C2/m (12)
E_tot, eV for the cell shown: -10.80